VASP calculation (PBE with a Hubbard U) on crystalline Li2PaNiO6 at its relaxed geometry.

The calculation puts the density at 6.077 g/cm³. The calculation puts the uncorrected energy at -192.263 eV/cell.

The space group is R3 (No. 146, hexagonal axes) and the conventional cell measures 5.1969, 5.1969 and 14.0062 Å, with angles of 90.00, 90.00 and 120.00 degrees. The asymmetric unit holds Li at (0.0000, 0.0000, 0.0000), Li at (0.0000, 0.0000, 0.4864), Pa at (0.0000, 0.0000, 0.2104), Ni at (0.0000, 0.0000, 0.7060), O at (0.0125, 0.6319, 0.4472) and O at (0.0550, 0.3741, 0.2911).